a | Below is a geometry-optimized Ba2MgZnPd structure, with properties calculated at the PBE-GGA level. Values from VASP.

```
&SYSTEM
  ibrav = 0, nat = 5, ntyp = 4
/
ATOMIC_SPECIES
Ba 137.33 Ba.upf
Mg 24.30 Mg.upf
Zn 65.41 Zn.upf
Pd 106.42 Pd.upf
ATOMIC_POSITIONS crystal
Ba 0.0000 0.5000 0.0000
Ba 0.5000 0.0000 0.0000
Mg 0.0000 0.0000 0.5000
Zn 0.5000 0.5000 0.5000
Pd 0.0000 0.0000 0.0000
CELL_PARAMETERS angstrom
6.1376 0.0000 0.0000
0.0000 6.1376 0.0000
0.0000 0.0000 5.1164
```

Properties
Space-group type = P4/mmm

---

b | Below is a geometry-optimized Ba2MgZnPd structure, with properties calculated at the PBE-GGA level. Values from VASP.

```
&SYSTEM
  ibrav = 0, nat = 5, ntyp = 4
/
ATOMIC_SPECIES
Ba 137.33 Ba.upf
Mg 24.30 Mg.upf
Zn 65.41 Zn.upf
Pd 106.42 Pd.upf
ATOMIC_POSITIONS crystal
Ba 0.0000 0.5000 0.0000
Ba 0.5000 0.0000 0.0000
Mg 0.0000 0.0000 0.5000
Zn 0.5000 0.5000 0.5000
Pd 0.5000 0.5000 0.0000
CELL_PARAMETERS angstrom
6.1712 0.0000 0.0000
0.0000 6.1712 0.0000
0.0000 0.0000 4.9634
```

Properties
Space-group type = P4/mmm

---

The structure with the most favorable energy is a; the runner-up is 5 meV per atom above it.

---

a | Below is a geometry-optimized Ba2PmMg structure, with properties calculated at the PBE-GGA level. Values from VASP.

```
&SYSTEM
  ibrav = 0, nat = 4, ntyp = 3
/
ATOMIC_SPECIES
Ba 137.33 Ba.upf
Pm 145.00 Pm.upf
Mg 24.30 Mg.upf
ATOMIC_POSITIONS crystal
Ba 0.0000 0.0000 0.2284
Ba 0.0000 0.0000 0.7716
Pm 0.5000 0.5000 0.5000
Mg 0.5000 0.5000 0.0000
CELL_PARAMETERS angstrom
4.0897 0.0000 0.0000
0.0000 4.0897 0.0000
0.0000 0.0000 10.3525
```

Properties
Space-group type = P4/mmm

---

b | Below is a geometry-optimized Ba2PmMg structure, with properties calculated at the PBE-GGA level. Values from VASP.

```
&SYSTEM
  ibrav = 0, nat = 4, ntyp = 3
/
ATOMIC_SPECIES
Ba 137.33 Ba.upf
Pm 145.00 Pm.upf
Mg 24.30 Mg.upf
ATOMIC_POSITIONS crystal
Ba 0.0914 0.0914 0.0914
Ba 0.9086 0.9086 0.9086
Pm 0.0000 0.0000 0.0000
Mg 0.5000 0.5000 0.5000
CELL_PARAMETERS angstrom
1.9132 1.1046 13.3743
-1.9132 1.1046 13.3743
0.0000 -2.2092 13.3743
```

Properties
Space-group type = R-3m

---

The structure with the most favorable energy is a; the runner-up is 190 meV per atom above it.